Entry 1:
Entry from Alexandria via LeMat-Bulk: a relaxed structure of PmSm3Ho (GGA-PBE).

Cell and atoms, written as POSCAR:
```
PmSm3Ho
1.0
7.649 2.477 0.000
1.660 7.866 0.000
0.000 0.000 6.215
Sm Ho Pm
6 2 2
Direct
0.000 0.000 0.000
0.202 0.599 0.250
0.401 0.798 0.750
0.599 0.202 0.250
0.798 0.401 0.750
0.000 0.000 0.500
0.666 0.666 0.250
0.334 0.334 0.750
0.201 0.201 0.250
0.799 0.799 0.750
```

Properties
ΔH_f (0 K): 0.33 eV per atom
Calculated total energy: -4.36 eV per atom
Energy relative to the lowest polymorph listed for this composition: 310 meV per atom
SG: Cmcm
Crystal system: orthorhombic

Entry 2:
Entry from Alexandria via LeMat-Bulk: a relaxed structure of Li3HoCl6 (GGA-PBE).

Cell and atoms, written as POSCAR:
```
Li3HoCl6
1.0
7.784 -0.024 -0.193
-0.197 7.782 -0.193
-0.024 -0.024 7.787
Li Cl Ho
6 12 2
Direct
0.561 0.074 0.246
0.246 0.561 0.074
0.074 0.246 0.561
0.754 0.439 0.926
0.926 0.754 0.439
0.439 0.926 0.754
0.904 0.687 0.079
0.815 0.446 0.612
0.079 0.904 0.687
0.446 0.612 0.815
0.612 0.815 0.446
0.096 0.313 0.921
0.687 0.079 0.904
0.554 0.388 0.185
0.921 0.096 0.313
0.313 0.921 0.096
0.388 0.185 0.554
0.185 0.554 0.388
0.000 0.000 0.000
0.500 0.500 0.500
```

Properties
Calculated total energy: -4.10 eV per atom
SG: R-3
Crystal system: trigonal
Formation energy (no corrections): -189 kJ/mol of atoms

Entry 3:
Entry from Alexandria via LeMat-Bulk: a relaxed structure of TaSbOs3 (GGA-PBE).

Cell and atoms, written as POSCAR:
```
TaSbOs3
1.0
4.789 0.000 0.000
0.000 4.789 0.000
0.000 0.000 4.789
Sb Os Ta
1 3 1
Direct
0.500 0.500 0.500
0.000 0.000 0.500
0.000 0.500 0.000
0.500 0.000 0.000
0.000 0.000 0.000
```

Properties
Calculated total energy: -7.91 eV per atom
Energy relative to the lowest polymorph listed for this composition: 0 meV per atom
SG: Pm-3m
Crystal system: cubic
Formation energy (no corrections): 195 kJ/mol of atoms

Entry 4:
Entry from Alexandria via LeMat-Bulk: a relaxed structure of MnPtS2N (GGA-PBE).

Cell and atoms, written as POSCAR:
```
MnPtS2N
1.0
-1.347 3.624 -3.025
-2.820 -3.141 -2.506
-2.817 0.782 2.191
S N Pt Mn
2 1 1 1
Direct
0.000 0.500 0.000
0.500 0.000 0.000
0.000 0.000 0.500
0.000 0.000 0.000
0.500 0.500 0.500
```

Properties
Calculated total energy: -5.15 eV per atom
Energy relative to the lowest polymorph listed for this composition: 716 meV per atom
SG: P4/mmm
Crystal system: tetragonal
Formation energy (no corrections): 116 kJ/mol of atoms